First-principles (PBE-GGA) data for a relaxed CeCoIr crystal, as listed in the Alexandria database.

Calculated values
Size of the total moment in Bohr magnetons per cell: 0.016
Calculated density in Mg/m³: 11.39
SG: P-6m2 (187)
Final energy in hartree per atom: -0.2842
ΔH_f (0 K) in eV per atom: -0.43

POSCAR file:
```
CeCoIr
1.0
3.8735 0.0000 0.0000
0.0000 4.1233 0.0000
0.0000 -2.0617 3.5709
Ir Co Ce
1 1 1
Direct
0.1667 0.0000 0.0000
0.1666 0.6667 0.3333
0.6667 0.3333 0.6667
```



First-principles (PBE-GGA) data for a relaxed CeCoIr2 crystal, as listed in the Alexandria database.

Calculated values
Size of the total moment in Bohr magnetons per cell: 0.000
Calculated density in Mg/m³: 14.97
SG: P4/mmm (123)
Final energy in hartree per atom: -0.2956
ΔH_f (0 K) in eV per atom: -0.35

POSCAR file:
```
CeCoIr2
1.0
-2.8425 2.6832 -1.0292
-2.6782 -2.9566 -0.3112
-0.9594 0.4630 3.8569
Ir Co Ce
2 1 1
Direct
0.0000 0.0000 0.5000
0.0000 0.5000 0.0000
0.5000 0.0000 0.0000
0.5000 0.5000 0.5000
```



First-principles (PBE-GGA) data for a relaxed CeCo2Ir crystal, as listed in the Alexandria database.

Calculated values
Size of the total moment in Bohr magnetons per cell: 2.247
Calculated density in Mg/m³: 12.16
SG: P4/mmm (123)
Final energy in hartree per atom: -0.2734
ΔH_f (0 K) in eV per atom: -0.19

POSCAR file:
```
CeCo2Ir
1.0
-1.5454 3.1643 1.6265
-3.6519 -1.3995 -0.7472
-0.0227 -1.8290 3.5366
Ir Co Ce
1 2 1
Direct
0.5000 0.0000 0.0000
0.0000 0.0000 0.5000
0.0000 0.5000 0.0000
0.5000 0.5000 0.5000
```



First-principles (PBE-GGA) data for a relaxed Ce8CoIr2 crystal, as listed in the Alexandria database.

Calculated values
Size of the total moment in Bohr magnetons per cell: 0.000
Calculated density in Mg/m³: 10.10
SG: Cm (8)
Final energy in hartree per atom: -0.2517
ΔH_f (0 K) in eV per atom: -0.28

POSCAR file:
```
Ce8CoIr2
1.0
5.6307 -0.4164 -1.2581
-2.5364 6.6216 -3.6707
-0.5151 -1.0130 7.9033
Ce Co Ir
8 1 2
Direct
0.6377 0.3949 0.1487
0.6377 0.1487 0.3949
0.1246 0.3078 0.3078
0.9815 0.1919 0.7659
0.9815 0.7659 0.1919
0.7981 0.6152 0.6152
0.4582 0.9414 0.7331
0.4582 0.7331 0.9414
0.0900 0.9773 0.9773
0.4161 0.6779 0.2797
0.4161 0.2797 0.6779
```



First-principles (PBE-GGA) data for a relaxed Ce6CoIr2 crystal, as listed in the Alexandria database.

Calculated values
Size of the total moment in Bohr magnetons per cell: 0.605
Calculated density in Mg/m³: 9.73
SG: P2_1/c (14)
Final energy in hartree per atom: -0.2612
ΔH_f (0 K) in eV per atom: -0.39

POSCAR file:
```
Ce6CoIr2
1.0
6.2543 0.0000 0.1414
0.0000 7.2388 0.0000
-0.5736 0.0000 9.6706
Ce Co Ir
12 2 4
Direct
0.8527 0.9604 0.2457
0.8497 0.6590 0.5516
0.8415 0.6929 0.9353
0.6585 0.1929 0.5647
0.6503 0.1590 0.9484
0.6473 0.4604 0.2543
0.1473 0.0396 0.7543
0.1503 0.3410 0.4484
0.1585 0.3071 0.0647
0.3415 0.8071 0.4353
0.3497 0.8410 0.0516
0.3527 0.5396 0.7457
0.5000 0.5000 0.0000
0.0000 0.0000 0.5000
0.9334 0.3807 0.7757
0.5666 0.8807 0.7243
0.4334 0.1193 0.2757
0.0666 0.6193 0.2243
```



First-principles (PBE-GGA) data for a relaxed Ce3Co2Ir7 crystal, as listed in the Alexandria database.

Calculated values
Size of the total moment in Bohr magnetons per cell: 0.238
Calculated density in Mg/m³: 15.07
SG: R-3m (166)
Final energy in hartree per atom: -0.3091
ΔH_f (0 K) in eV per atom: -0.58

POSCAR file:
```
Ce3Co2Ir7
1.0
-3.2487 4.1624 0.4750
-4.4300 0.2496 -2.9014
-6.8331 -2.5698 5.3685
Ce Co Ir
3 2 7
Direct
0.0000 0.0000 0.0000
0.8609 0.8609 0.4174
0.1391 0.1391 0.5826
0.6666 0.6666 0.0001
0.3334 0.3334 0.9999
0.5000 0.5000 0.5000
0.9226 0.4206 0.2361
0.4206 0.9226 0.2361
0.4206 0.4206 0.2361
0.0774 0.5794 0.7639
0.5794 0.5794 0.7639
0.5794 0.0774 0.7639
```